Entry from Alexandria via LeMat-Bulk: a relaxed structure of KSb2 (PBE).

Unit cell a=4.048 b=4.048 c=12.575 alpha=90.00 beta=90.00 gamma=90.00
Fractional positions:
K 0.000 0.000 0.000
K 0.500 0.500 0.500
Sb 0.000 0.000 0.294
Sb 0.000 0.000 0.706
Sb 0.500 0.500 0.206
Sb 0.500 0.500 0.794

Results
Energy = -3.398 eV/atom
N(E_F) = 0.4 states/eV/f.u.
E_form (uncorrected) = -284 meV per atom
Total magnetization = 0.00 μB per formula unit

***

Entry from Alexandria via LeMat-Bulk: a relaxed structure of TbScAgOs (PBE).

Unit cell a=3.318 b=3.318 c=7.421 alpha=90.00 beta=90.00 gamma=90.00
Fractional positions:
Tb 0.000 0.000 0.000
Sc 0.000 0.000 0.562
Ag 0.500 0.500 0.306
Os 0.500 0.500 0.762

Results
Energy = -6.618 eV/atom
N(E_F) = 2.2 states/eV/f.u.
Total magnetization = 0.00 μB per formula unit
Energy relative to the elements = -0.36 eV/atom

***

Entry from Alexandria via LeMat-Bulk: a relaxed structure of CePaPb (PBE).

Unit cell a=5.261 b=5.261 c=3.244 alpha=90.00 beta=90.00 gamma=120.00
Fractional positions:
Ce 0.000 0.000 0.000
Pa 0.667 0.333 0.000
Pb 0.333 0.667 0.500

Results
Energy = -6.285 eV/atom
N(E_F) = 7.0 states/eV/f.u.
Total magnetization = 1.49 μB per formula unit
Energy relative to the elements = 0.09 eV/atom